[1]
Here is a relaxed structure of HfVN2O from the Alexandria database. Energies are from PBE+U.

The structure in CIF format:
```
data_HfVN2O
_space_group_name_H-M_alt 'P 4/m m m'
_space_group_IT_number 123
_space_group_name_Hall '-P 4 2'
_cell_length_a 4.1933
_cell_length_b 4.1933
_cell_length_c 3.9848
_cell_angle_alpha 90.00
_cell_angle_beta 90.00
_cell_angle_gamma 90.00
loop_
_atom_site_label
_atom_site_type_symbol
_atom_site_fract_x
_atom_site_fract_y
_atom_site_fract_z
_atom_site_occupancy
Hf1 Hf 0.0000 0.0000 0.0000 1
V1 V 0.5000 0.5000 0.5000 1
N1 N 0.0000 0.5000 0.0000 1
O1 O 0.0000 0.0000 0.5000 1
```

Results
Final energy (eV/atom): -7.84
Density (g/cm3): 6.48
Volume (Å³/cell): 70.07

***

[2]
Here is a relaxed structure of HfVN2O from the Alexandria database. Energies are from PBE+U.

The structure in CIF format:
```
data_HfVN2O
_space_group_name_H-M_alt 'P 4/m m m'
_space_group_IT_number 123
_space_group_name_Hall '-P 4 2'
_cell_length_a 3.8405
_cell_length_b 3.8405
_cell_length_c 3.6167
_cell_angle_alpha 90.00
_cell_angle_beta 90.00
_cell_angle_gamma 90.00
loop_
_atom_site_label
_atom_site_type_symbol
_atom_site_fract_x
_atom_site_fract_y
_atom_site_fract_z
_atom_site_occupancy
Hf1 Hf 0.0000 0.0000 0.0000 1
V1 V 0.5000 0.5000 0.5000 1
N1 N 0.0000 0.5000 0.5000 1
O1 O 0.5000 0.5000 0.0000 1
```

Results
Final energy (eV/atom): -8.47
Density (g/cm3): 8.51
Volume (Å³/cell): 53.34